Model A:
Material: La2Pr3Tl2
Method: DFT, PBE
State: optimized geometry

Cell and atoms, written as extended XYZ:
```
7
Lattice="5.4575 0.0000 0.0000 -2.7287 6.0330 0.2192 0.0000 -0.0079 7.1747" Properties=species:S:1:pos:R:3 pbc="T T T"
Pr 2.7287 2.4725 1.2158
Pr 0.0000 0.0000 0.0000
Pr 0.0000 3.5526 6.1782
Tl 2.7287 4.5648 4.4181
Tl 0.0000 1.4603 2.9758
La 2.7287 1.2376 4.8519
La 0.0000 4.7875 2.5421
```

* calculated density: 7.80 g/cm³

---

Model B:
Material: La2Pr3Tl2
Method: DFT, PBE
State: optimized geometry

Cell and atoms, written as extended XYZ:
```
7
Lattice="-0.4419 -3.3212 -4.6074 6.1481 1.9137 -1.9748 -8.7035 -6.5473 9.0677" Properties=species:S:1:pos:R:3 pbc="T T T"
Tl 1.3725 -1.9801 -2.2374
Tl -4.3697 -5.9748 4.7229
La -3.6754 -6.5624 1.5622
La 0.6782 -1.3924 0.9232
Pr -1.5451 -3.9814 3.0129
Pr -1.4521 -3.9734 -0.5275
Pr 3.0741 0.9568 -0.9874
```

* calculated density: 7.84 g/cm³

---

Verdict on stability: model A comes out at the bottom.

---

Model A:
Material: LaPr3Tl
Method: DFT, PBE
State: optimized geometry

Cell and atoms, written as extended XYZ:
```
5
Lattice="-3.7554 2.6332 4.4345 -1.4232 -6.1945 -0.5520 6.0969 0.6064 1.7781" Properties=species:S:1:pos:R:3 pbc="T T T"
Pr 3.2563 -0.3612 2.1625
Pr -1.6720 0.6526 3.4913
Pr -0.5054 -3.7632 0.9969
Tl 0.2068 -0.6654 1.2748
La 0.6657 -2.1419 4.1032
```

* calculated density: 6.31 g/cm³

---

Model B:
Material: LaPr3Tl
Method: DFT, PBE
State: optimized geometry

Cell and atoms, written as extended XYZ:
```
10
Lattice="-2.0652 -5.4633 2.3770 1.4248 -2.6742 -4.9087 7.2041 -4.5087 4.5474" Properties=species:S:1:pos:R:3 pbc="T T T"
Pr 2.4296 -8.4025 4.2288
Pr 5.2472 -6.2723 3.8859
Pr 6.5886 -5.6166 0.5286
Pr 1.2119 -2.4248 0.6172
Pr 3.7708 -7.7465 0.8711
Pr 0.6031 -7.0864 -0.4095
La 6.9117 -8.8061 2.3591
La 2.1065 -5.2137 2.3970
Tl 3.2440 -4.7035 -0.9408
Tl -1.4291 -4.8074 1.1490
```

* calculated density: 7.71 g/cm³

---

Verdict on stability: model A comes out at the bottom.

---

Model A:
Material: LaPr4Tl
Method: DFT, PBE
State: optimized geometry

Cell and atoms, written as extended XYZ:
```
6
Lattice="-1.0653 3.3619 -1.2540 -3.5178 -0.7208 1.0560 2.8005 5.8586 13.3277" Properties=species:S:1:pos:R:3 pbc="T T T"
Pr 0.9936 2.0786 4.7286
Pr -1.7921 2.3655 2.2781
Pr 1.8069 3.7800 8.5992
Pr 0.0095 6.1342 10.8516
La 0.0000 0.0000 0.0000
Tl -0.8913 4.2498 6.5649
```

* calculated density: 7.25 g/cm³

---

Model B:
Material: LaPr4Tl
Method: DFT, PBE
State: optimized geometry

Cell and atoms, written as extended XYZ:
```
12
Lattice="5.8895 0.0000 0.0000 0.0000 6.6435 0.0000 -2.9448 0.0000 10.8886" Properties=species:S:1:pos:R:3 pbc="T T T"
Pr 0.0000 3.9824 5.4492
Pr 0.0000 0.4443 6.8043
Pr 2.9448 2.6588 0.9201
Pr 0.0000 5.9805 9.9685
Pr 0.0000 4.7532 1.3218
Pr 2.9448 1.4314 9.5669
Pr 2.9448 3.7661 4.0844
Pr 2.9448 0.6606 5.4394
Tl 2.9448 6.3338 2.2559
Tl 0.0000 3.0121 8.6327
La 0.0000 1.3157 2.9414
La 2.9448 4.6374 7.9472
```

* calculated density: 7.07 g/cm³

---

Verdict on stability: model B comes out at the bottom.

---

Model A:
Material: La6Pr2Tl
Method: DFT, PBE
State: optimized geometry

Cell and atoms, written as extended XYZ:
```
18
Lattice="-0.9753 -8.0083 4.8687 9.1524 -6.4451 -0.3343 4.4612 2.9426 4.3497" Properties=species:S:1:pos:R:3 pbc="T T T"
La 12.0362 -4.1937 4.2346
La 2.8550 -0.9931 2.8071
La 5.5960 -6.6980 3.0921
La 9.7832 -10.5177 6.0769
La 9.1126 -1.9612 4.4190
La 3.5256 -9.5496 4.4651
La 8.6607 -8.9342 2.9359
La 6.6927 -8.5684 6.0177
La 7.0423 -4.8128 5.7920
La 3.9775 -2.5766 5.9482
La 5.9455 -2.9424 2.8663
La 0.6020 -7.3170 4.6494
Pr 8.8337 -5.1066 2.5963
Pr 2.6519 -4.4895 3.0537
Pr 9.9863 -7.0213 5.8303
Pr 3.8046 -6.4042 6.2877
Tl 6.8463 -11.6208 4.3736
Tl 5.7919 0.1100 4.5104
```

* calculated density: 6.98 g/cm³

---

Model B:
Material: La6Pr2Tl
Method: DFT, PBE
State: optimized geometry

Cell and atoms, written as extended XYZ:
```
9
Lattice="3.7862 0.0000 0.0000 0.0000 9.9284 0.0000 0.0000 -4.9642 8.5980" Properties=species:S:1:pos:R:3 pbc="T T T"
Pr 0.0000 4.9642 2.8651
Pr 0.0000 0.0000 5.7329
La 1.8931 1.8223 3.1570
La 0.0000 -1.3955 2.4174
La 0.0000 3.5687 6.1806
La 1.8931 6.2850 0.0000
La 1.8931 6.7865 5.4410
La 0.0000 2.7906 0.0000
Tl 1.8931 9.9280 0.0000
```

* calculated density: 6.78 g/cm³

---

Verdict on stability: model A comes out at the bottom.

---

Model A:
Material: La2Pr4Tl
Method: DFT, PBE
State: optimized geometry

Cell and atoms, written as extended XYZ:
```
14
Lattice="-3.1831 -8.5141 6.5673 -3.0170 -2.9049 -5.2284 5.4840 -3.1382 -1.4104" Properties=species:S:1:pos:R:3 pbc="T T T"
La 2.4275 -4.1643 -3.3882
La -3.1436 -10.3930 3.3167
La -3.3379 -8.3300 -2.0091
La 2.6218 -6.2273 1.9376
Pr 2.6204 -3.1021 0.2015
Pr -3.3365 -11.4552 -0.2730
Pr -1.2182 -8.3719 1.0832
Pr -2.4664 -4.6354 -2.4317
Pr -0.9625 -3.1952 0.1920
Pr 0.5021 -6.1854 -1.1547
Pr 0.2464 -11.3620 -0.2635
Pr 1.7503 -9.9219 2.3602
Tl -3.1001 -5.7095 0.6695
Tl 0.0000 0.0000 0.0000
```

* calculated density: 7.14 g/cm³

---

Model B:
Material: La2Pr4Tl
Method: DFT, PBE
State: optimized geometry

Cell and atoms, written as extended XYZ:
```
14
Lattice="5.9317 0.0000 -0.4235 0.0000 6.8981 0.0000 -2.2746 0.0000 11.9366" Properties=species:S:1:pos:R:3 pbc="T T T"
Pr 3.1135 3.4123 3.0811
Pr -0.1363 5.1736 5.1361
Pr 0.5437 3.4858 8.4321
Pr -0.0466 1.7245 1.4488
Pr 3.1135 0.0368 3.0811
Pr 3.7038 5.1736 10.0643
Pr 0.5437 6.8613 8.4321
Pr 3.7934 1.7245 6.3770
La 2.9789 5.1736 6.5104
La 0.6783 1.7245 5.0027
La 3.1185 5.1736 0.0365
La 0.5386 1.7245 11.4766
Tl 0.2476 5.1736 1.9160
Tl 3.4096 1.7245 9.5971
```

* calculated density: 7.21 g/cm³

---

Verdict on stability: model A comes out at the bottom.

---

Model A:
Material: La2Pr5Tl4
Method: DFT, PBE
State: optimized geometry

Cell and atoms, written as extended XYZ:
```
11
Lattice="3.5916 0.0000 0.0000 0.0000 8.9238 -0.0543 0.0000 1.1562 10.8625" Properties=species:S:1:pos:R:3 pbc="T T T"
Pr 0.0000 7.6621 1.4798
Pr 0.0000 4.4619 -0.0272
Pr 0.0000 5.5820 7.2065
Pr 0.0000 2.4179 9.3284
Pr 0.0000 4.4981 3.6017
Tl 1.7958 7.1641 4.5084
Tl 1.7958 1.9331 1.2722
Tl 1.7958 2.9159 6.2998
Tl 1.7958 8.1469 9.5360
La 0.0000 8.9357 6.8419
La 0.0000 1.1443 3.9663
```

* calculated density: 8.58 g/cm³

---

Model B:
Material: La2Pr5Tl4
Method: DFT, PBE
State: optimized geometry

Cell and atoms, written as extended XYZ:
```
11
Lattice="3.7121 0.0000 0.0000 0.0000 8.6187 -0.9627 -1.8561 -4.2040 12.0223" Properties=species:S:1:pos:R:3 pbc="T T T"
Tl 1.8561 -1.5909 11.2097
Tl 0.0000 6.0056 -0.1500
Tl 1.8561 3.9857 1.6224
Tl 0.0000 0.4291 9.4372
Pr 1.8561 0.0000 0.0000
Pr 0.0000 1.3872 2.7075
Pr 1.8561 -1.9756 7.8201
Pr 1.8561 3.0275 8.3522
Pr 0.0000 6.3904 3.2396
La 1.8561 3.6975 4.9811
La 0.0000 0.7172 6.0785
```

* calculated density: 8.09 g/cm³

---

Verdict on stability: model B comes out at the bottom.

---

Model A:
Material: La2Pr3Tl
Method: DFT, PBE
State: optimized geometry

Cell and atoms, written as extended XYZ:
```
6
Lattice="5.0268 0.0000 0.0000 0.0000 4.7814 -1.6167 0.0000 0.1641 8.3642" Properties=species:S:1:pos:R:3 pbc="T T T"
La 0.0000 1.7154 5.0733
La 0.0000 3.2301 1.6743
Pr 2.5134 2.3907 -0.8083
Pr 2.5134 4.1318 4.3410
Pr 2.5134 0.8137 2.4066
Tl 0.0000 0.0000 0.0000
```

* calculated density: 7.43 g/cm³

---

Model B:
Material: La2Pr3Tl
Method: DFT, PBE
State: optimized geometry

Cell and atoms, written as extended XYZ:
```
12
Lattice="7.0600 0.0000 0.0000 0.0000 6.7138 0.0552 -3.5300 -1.7017 8.7374" Properties=species:S:1:pos:R:3 pbc="T T T"
Pr -0.8109 -0.3131 2.8904
Pr 2.7191 1.9684 5.8746
Pr 1.5361 5.0354 0.0414
Pr 4.3409 5.3253 5.9022
Pr 0.8109 3.0438 2.9180
Pr 5.5239 1.6785 0.0138
La 2.8480 -0.0948 2.7867
La 4.2120 3.2621 2.8143
La 0.6820 5.1070 6.0058
La -0.6820 1.7501 5.9782
Tl 2.0292 1.6785 0.0138
Tl 5.0308 5.0354 0.0414
```

* calculated density: 7.25 g/cm³

---

Verdict on stability: model B comes out at the bottom.

---

Model A:
Material: La3PrTl3
Method: DFT, PBE
State: optimized geometry

Cell and atoms, written as extended XYZ:
```
14
Lattice="-4.3284 -4.1128 -5.1911 -5.6200 -1.1306 5.4529 -3.4242 6.3899 -2.2059" Properties=species:S:1:pos:R:3 pbc="T T T"
Tl -10.3629 1.6265 1.1964
Tl -3.6556 1.0115 2.1826
Tl -9.7170 0.1351 -4.1267
Tl -12.5272 -0.4304 -1.3996
Tl -0.8454 1.5769 -0.5445
Tl -3.0097 -0.4799 -3.1404
La -6.3754 -0.1444 -3.5337
La -4.2602 1.8529 -1.0362
La -5.2791 -1.9181 2.6424
La -8.0936 3.0646 -4.5864
La -6.9972 1.2909 1.5897
La -9.1124 -0.7063 -0.9079
Pr -2.5228 -1.3285 0.0660
Pr -10.8498 2.4750 -2.0101
```

* calculated density: 8.20 g/cm³

---

Model B:
Material: La3PrTl3
Method: DFT, PBE
State: optimized geometry

Cell and atoms, written as extended XYZ:
```
28
Lattice="-3.5668 5.2701 7.4324 0.2485 -7.9224 5.7367 9.1078 2.2800 2.7542" Properties=species:S:1:pos:R:3 pbc="T T T"
Tl -0.6812 -5.5859 6.8880
Tl 1.8027 -2.4366 9.0293
Tl 4.8676 -2.9007 12.4662
Tl 8.0148 -0.0088 3.8566
Tl 1.9252 -2.7316 4.4937
Tl -0.5685 0.9660 5.4868
Tl 2.3298 0.7349 13.4739
Tl -0.8137 5.1755 7.1877
Tl 3.7059 1.4401 3.9438
Tl 1.9780 2.1211 9.0721
Tl 5.5998 -0.2877 7.6989
Tl 6.5762 1.2802 11.9427
Pr 8.2973 -2.0522 6.4060
Pr 1.9592 5.5892 8.8891
Pr -1.1368 -4.1234 9.7877
Pr 2.4592 -0.1581 6.7638
La -1.2763 2.1687 8.4851
La 1.0104 -0.0650 2.7791
La 5.1877 -3.2865 9.0123
La -0.7134 -2.1247 6.6620
La 0.1876 -0.2515 10.9012
La 2.5495 -4.8800 6.9293
La 5.3658 -0.3450 14.7580
La 6.4017 2.2177 5.6946
La 5.0654 -1.6889 4.5711
La 1.8611 3.4141 5.8554
La 5.1932 2.8584 9.1540
La 3.9040 -0.2510 10.7376
```

* calculated density: 8.30 g/cm³

---

Verdict on stability: model A comes out at the bottom.

---

Model A:
Material: LaPr6Tl5
Method: DFT, PBE
State: optimized geometry

Cell and atoms, written as extended XYZ:
```
12
Lattice="-2.8294 3.3202 -2.8266 -9.0014 -3.2491 -4.3599 -8.4198 0.5467 4.2933" Properties=species:S:1:pos:R:3 pbc="T T T"
Pr -5.8027 2.3378 -1.0024
Pr -14.4478 -1.7201 -1.8908
Pr -8.7371 0.1990 -5.3565
Pr -11.5250 1.3901 -1.1645
Pr -8.7255 -0.7724 -1.7288
Pr -3.0936 -0.1280 -1.8301
Tl -11.5413 -1.8420 -0.1648
Tl -5.9154 0.0355 -3.5933
Tl -5.8799 -0.8604 0.0981
Tl -8.6495 1.5503 0.9228
Tl -11.6010 -0.9325 -3.8160
La 0.0000 0.0000 0.0000
```

* calculated density: 8.90 g/cm³

---

Model B:
Material: LaPr6Tl5
Method: DFT, PBE
State: optimized geometry

Cell and atoms, written as extended XYZ:
```
12
Lattice="-4.3177 3.4476 -1.1303 -4.7654 -4.6780 3.9337 -0.5300 6.1276 6.6452" Properties=species:S:1:pos:R:3 pbc="T T T"
Pr -3.4506 0.4558 0.5011
Pr -2.2829 3.4282 5.1074
Pr -7.3302 1.4689 4.3412
Pr -4.6791 1.0760 7.0854
Pr -4.9341 3.8211 2.3633
Pr -5.6326 -1.6862 2.3023
Tl -2.3827 -2.3390 1.9669
Tl -3.1787 6.5271 3.9118
Tl -1.6690 3.0481 1.6031
Tl -5.6157 4.0413 5.6383
Tl -3.9974 0.8559 3.8103
La 0.0000 0.0000 0.0000
```

* calculated density: 8.86 g/cm³

---

Verdict on stability: model B comes out at the bottom.

---

Model A:
Material: La3Pr2Tl2
Method: DFT, PBE
State: optimized geometry

Cell and atoms, written as extended XYZ:
```
7
Lattice="3.7334 0.0000 -0.6394 -0.2130 5.3361 -1.2436 0.1166 -0.0392 11.8996" Properties=species:S:1:pos:R:3 pbc="T T T"
Tl 1.2134 4.5169 7.0849
Tl 2.4236 0.7800 2.9317
Pr 2.0353 3.0534 0.6647
Pr 1.6017 2.2435 9.3519
La 2.9896 1.5729 6.2369
La 0.6473 3.7240 3.7797
La 0.0000 0.0000 0.0000
```

* calculated density: 7.75 g/cm³

---

Model B:
Material: La3Pr2Tl2
Method: DFT, PBE
State: optimized geometry

Cell and atoms, written as extended XYZ:
```
7
Lattice="-0.0112 -3.9332 -0.4424 5.6812 2.3395 -3.2376 3.6386 -0.9468 8.3270" Properties=species:S:1:pos:R:3 pbc="T T T"
La 3.3381 -1.9432 -0.5164
La 5.9704 -0.5973 5.1633
La 0.0000 0.0000 0.0000
Tl 6.0541 0.0734 -0.8090
Tl 3.2545 -2.6139 5.4559
Pr 3.1050 -0.3277 2.8288
Pr 6.2036 -2.2128 1.8181
```

* calculated density: 7.71 g/cm³

---

Verdict on stability: model A comes out at the bottom.